(1)
Density functional theory data (GGA-PBE) for a relaxed Ho2SiN crystal.

ρ	8.32	g/cm³
total DFT energy (no corrections)	-81.68	eV per cell

a b c (Å): 3.5142 3.5142 20.8307
angles (deg): 90.00 90.00 120.00
With the nearest neighbours (Å) after each atom.
Space group R-3m (No. 166, hexagonal axes)
Symmetry-distinct sites (fractional):
Ho1 0.0000 0.0000 0.2316 x6  3 N 2.44
Si1 0.0000 0.0000 0.0000 x3  6 Ho 2.93
N1 0.0000 0.0000 0.5000 x3  6 Ho 2.44

***

(2)
Density functional theory data (GGA-PBE) for a relaxed KTc2Te crystal.

ρ	6.00	g/cm³
total DFT energy (no corrections)	-43.58	eV per cell

a b c (Å): 3.1923 5.9012 10.6549
angles (deg): 90.00 90.00 90.00
With the nearest neighbours (Å) after each atom.
Space group Imm2 (No. 44)
Symmetry-distinct sites (fractional):
K1 0.0000 0.0000 0.0000 x2  2 K 3.19, 6 Tc 3.36-3.51, 2 Te 3.52
Tc1 0.0000 0.0000 0.4804 x2  2 Tc 2.33
Tc2 0.0000 0.5000 0.8216 x2  2 Tc 2.33
Te1 0.0000 0.5000 0.2052 x2  2 Tc 2.88, 2 Te 3.19

***

(3)
Density functional theory data (GGA-PBE) for a relaxed CaSb3Ir crystal.

ρ	5.90	g/cm³
total DFT energy (no corrections)	-15.54	eV per cell

a b c (Å): 5.5198 5.5198 5.5198
angles (deg): 90.00 90.00 90.00
With the nearest neighbours (Å) after each atom.
Space group Pm-3m (No. 221)
Symmetry-distinct sites (fractional):
Ca1 0.0000 0.0000 0.0000 x1  6 Sb 2.76
Sb1 0.0000 0.0000 0.5000 x3  2 Ca 2.76
Ir1 0.5000 0.5000 0.5000 x1  12 Sb 3.90

***

(4)
Density functional theory data (GGA-PBE) for a relaxed Mn2CdMo crystal.

ρ	8.62	g/cm³
ΔH_f (0 K)	1.574	eV per formula unit

a b c (Å): 2.7813 2.7813 27.4531
angles (deg): 90.00 90.00 120.00
With the nearest neighbours (Å) after each atom.
Space group R3m (No. 160, hexagonal axes)
Symmetry-distinct sites (fractional):
Mn1 0.0000 0.0000 0.0000 x3  3 Mn 2.46
Mn2 0.0000 0.0000 0.2656 x3  3 Mn 2.46, 3 Mo 2.75
Cd1 0.0000 0.0000 0.7558 x3  6 Cd 2.78, 3 Mn 2.93, 3 Mo 3.07
Mo1 0.0000 0.0000 0.5178 x3  3 Mn 2.75, 6 Mo 2.78, 3 Cd 3.07

***

(5)
Density functional theory data (GGA-PBE) for a relaxed Tb2SiC crystal.

ρ	7.14	g/cm³
total DFT energy (no corrections)	-75.35	eV per cell

a b c (Å): 3.6077 3.6077 22.1577
angles (deg): 90.00 90.00 120.00
With the nearest neighbours (Å) after each atom.
Space group R-3m (No. 166, hexagonal axes)
Symmetry-distinct sites (fractional):
Tb1 0.0000 0.0000 0.2290 x6  3 C 2.50
Si1 0.0000 0.0000 0.0000 x3  6 Tb 3.11
C1 0.0000 0.0000 0.5000 x3  6 Tb 2.50

***

(6)
Density functional theory data (GGA-PBE) for a relaxed YSc2HgH crystal.

ρ	6.49	g/cm³
total DFT energy (no corrections)	-24.30	eV per cell

a b c (Å): 4.5661 4.5661 4.6710
angles (deg): 90.00 90.00 90.00
With the nearest neighbours (Å) after each atom.
Space group P4/mmm (No. 123)
Symmetry-distinct sites (fractional):
Y1 0.0000 0.0000 0.0000 x1  2 H 2.34
Sc1 0.0000 0.5000 0.5000 x2  2 H 2.28
Hg1 0.5000 0.5000 0.0000 x1  4 Y 3.23, 8 Sc 3.27
H1 0.0000 0.0000 0.5000 x1  4 Sc 2.28, 2 Y 2.34

***

(7)
Density functional theory data (GGA-PBE) for a relaxed ZrTcNi2 crystal.

ρ	8.76	g/cm³
ΔH_f (0 K)	-1.056	eV per formula unit

a b c (Å): 4.7579 5.0639 5.0888
angles (deg): 101.14 103.96 92.15
With the nearest neighbours (Å) after each atom.
Space group P-1 (No. 2)
Symmetry-distinct sites (fractional):
Zr1 0.1935 0.2960 0.1356 x2  8 Ni 2.57-2.84
Tc1 0.2359 0.8999 0.5389 x2  1 Tc 2.47, 6 Ni 2.56-2.73
Ni1 0.2456 0.4312 0.6601 x2  3 Ni 2.46-2.71, 3 Tc 2.56-2.65, 2 Zr 2.57-2.70
Ni2 0.3654 0.8081 0.0651 x2  3 Ni 2.46-2.56, 3 Zr 2.58-2.62, 3 Tc 2.58-2.73

***

(8)
Density functional theory data (GGA-PBE) for a relaxed BaI3N2 crystal.

ρ	5.33	g/cm³
total DFT energy (no corrections)	-87.65	eV per cell

a b c (Å): 8.1496 8.3272 10.0346
angles (deg): 90.00 90.00 90.00
With the nearest neighbours (Å) after each atom.
Space group Cmcm (No. 63)
Symmetry-distinct sites (fractional):
Ba1 0.0000 0.2282 0.2500 x4  4 N 2.95-3.02
I1 0.0000 0.2258 0.7500 x4  2 N 2.01
I2 0.2436 0.0000 0.0000 x8  2 N 2.62
N1 0.1965 0.0798 0.7500 x8  1 I 2.01

***

(9)
Density functional theory data (GGA-PBE) for a relaxed NdBi5Pb2 crystal.

ρ	10.52	g/cm³
ΔH_f (0 K)	-1.481	eV per formula unit

a b c (Å): 8.4020 8.4020 7.1692
angles (deg): 90.00 90.00 90.00
With the nearest neighbours (Å) after each atom.
Space group I4/mmm (No. 139)
Symmetry-distinct sites (fractional):
Nd1 0.0000 0.0000 0.0000 x2  10 Bi 3.47-3.58
Bi1 0.0000 0.0000 0.5000 x2  8 Bi 3.47, 2 Nd 3.58
Bi2 0.2500 0.2500 0.2500 x8  4 Pb 3.47, 4 Bi 3.47-3.58, 2 Nd 3.47
Pb1 0.0000 0.5000 0.0000 x4  8 Bi 3.47, 2 Pb 3.58

***

(10)
Density functional theory data (GGA-PBE) for a relaxed Bi2SbCl crystal.

ρ	7.96	g/cm³
total DFT energy (no corrections)	-42.47	eV per cell

a b c (Å): 3.8758 3.8758 27.6575
angles (deg): 90.00 90.00 120.00
With the nearest neighbours (Å) after each atom.
Space group R-3m (No. 166, hexagonal axes)
Symmetry-distinct sites (fractional):
Bi1 0.0000 0.0000 0.2467 x6  3 Sb 3.15, 3 Cl 3.28
Sb1 0.0000 0.0000 0.5000 x3  6 Bi 3.15
Cl1 0.0000 0.0000 0.0000 x3  6 Bi 3.28

***

(11)
Density functional theory data (GGA-PBE) for a relaxed Ta3Cr5 crystal.

ρ	11.83	g/cm³
ΔH_f (0 K)	0.153	eV per formula unit

a b c (Å): 6.0934 8.6591 4.2721
angles (deg): 90.00 90.00 90.00
With the nearest neighbours (Å) after each atom.
Space group Cmmm (No. 65)
Symmetry-distinct sites (fractional):
Ta1 0.0000 0.0000 0.0000 x2  8 Cr 2.65
Ta2 0.0000 0.2523 0.5000 x4  8 Cr 2.61-2.69
Cr1 0.0000 0.5000 0.0000 x2  8 Cr 2.60-2.65
Cr2 0.2428 0.5000 0.5000 x4  2 Cr 2.60, 6 Ta 2.61-2.69
Cr3 0.2500 0.2500 0.0000 x4  6 Ta 2.62-2.65, 2 Cr 2.65